A relaxed structure of ZnCo2SeF. Source: the Alexandria database, functional PBE+U.

Cell and atoms, written as extended XYZ:
```
5
Lattice="4.216 0.000 0.000 0.000 4.216 0.000 0.000 0.000 4.420" Properties=species:S:1:pos:R:3 pbc="T T T"
Zn 0.000 0.000 0.000
Co 0.000 2.108 2.210
Co 2.108 0.000 2.210
Se 2.108 2.108 0.000
F 0.000 0.000 2.210
```

## Properties
**E_tot**: -3.424 eV/atom
**N(E_F)**: 1.9 states/eV per cell